No. 1
Material: ThBiBr
Method: DFT, GGA-PBE
State: optimized geometry Values from VASP.

Raw total energy = -0.376 Ry/atom
Formation energy (no corrections) = -0.79 eV per atom

```
&SYSTEM
  ibrav = 0, nat = 3, ntyp = 3
/
ATOMIC_SPECIES
Th 232.04 Th.upf
Bi 208.98 Bi.upf
Br 79.90 Br.upf
CELL_PARAMETERS angstrom
5.079 0.000 0.000
-2.539 4.398 0.000
0.000 0.000 4.104
ATOMIC_POSITIONS crystal
Th 0.000 0.000 0.000
Bi 0.667 0.333 0.500
Br 0.333 0.667 0.000
```



No. 2
Material: Pu2SiH
Method: DFT, GGA-PBE
State: optimized geometry Values from VASP.

Distance to the lowest polymorph of the same formula = 123.5 kJ/mol of formula units
Raw total energy = -0.678 Ry/atom

```
&SYSTEM
  ibrav = 0, nat = 4, ntyp = 3
/
ATOMIC_SPECIES
Pu 244.00 Pu.upf
Si 28.09 Si.upf
H 1.01 H.upf
CELL_PARAMETERS angstrom
1.352 0.780 8.604
-1.352 0.780 8.604
0.000 -1.561 8.604
ATOMIC_POSITIONS crystal
Pu 0.233 0.233 0.233
Pu 0.767 0.767 0.767
Si 0.000 0.000 0.000
H 0.500 0.500 0.500
```



Number 1: volume 30.55 Å³ per atom, total magnetization 0.00 μB per atom, density 9.437 g cm⁻³. Number 2: volume 13.61 Å³ per atom, total magnetization 0.92 μB per atom, density 15.768 g cm⁻³.